<1>
CaCoAsSe2, optimized geometry, DFT PBE; volume = 30.7 Å³ per atom; SG = P4/mmm, No. 123
1.0
5.354 0.000 0.000
0.000 5.354 0.000
0.000 0.000 5.354
Ca Co As Se
1 1 1 2
Direct
0.000 0.000 0.000 Ca
0.500 0.500 0.500 Co
0.000 0.000 0.500 As
0.000 0.500 0.000 Se
0.500 0.000 0.000 Se

<2>
CaCoAsSe2, optimized geometry, DFT PBE; volume = 21.9 Å³ per atom; SG = P4/mmm, No. 123
1.0
5.058 0.000 0.000
0.000 5.058 0.000
0.000 0.000 4.289
Ca Co As Se
1 1 1 2
Direct
0.000 0.000 0.000 Ca
0.500 0.500 0.500 Co
0.500 0.500 0.000 As
0.000 0.500 0.500 Se
0.500 0.000 0.500 Se

<2> comes first in stability; the runner-up is 1334 meV/atom higher.

<1>
CaCrAs2, optimized geometry, DFT PBE; volume = 20.7 Å³ per atom; SG = Imm2, No. 44
1.0
-1.732 1.750 6.836
1.732 -1.750 6.836
1.732 1.750 -6.836
Ca Cr As
1 1 2
Direct
0.000 0.000 0.000 Ca
0.247 0.747 0.500 Cr
0.378 0.378 0.000 As
0.676 0.176 0.500 As

<2>
CaCrAs2, optimized geometry, DFT PBE; volume = 17.6 Å³ per atom; SG = P4/mmm, No. 123
1.0
3.136 0.000 0.000
0.000 3.136 0.000
0.000 0.000 7.156
Ca Cr As
1 1 2
Direct
0.000 0.000 0.000 Ca
0.000 0.000 0.500 Cr
0.500 0.500 0.302 As
0.500 0.500 0.698 As

<1> comes first in stability; the runner-up is 90 meV/atom higher.

<1>
CaCrAs2, optimized geometry, DFT PBE; volume = 20.6 Å³ per atom; SG = F-43m, No. 216
1.0
0.000 3.455 3.455
3.455 0.000 3.455
3.455 3.455 0.000
Ca Cr As
1 1 2
Direct
0.000 0.000 0.000 Ca
0.250 0.250 0.250 Cr
0.500 0.500 0.500 As
0.750 0.750 0.750 As

<2>
CaCrAs2, optimized geometry, DFT PBE; volume = 20.7 Å³ per atom; SG = R-3m, No. 166
1.0
1.924 1.111 6.457
-1.924 1.111 6.457
0.000 -2.221 6.457
Ca Cr As
1 1 2
Direct
0.000 0.000 0.000 Ca
0.500 0.500 0.500 Cr
0.232 0.232 0.232 As
0.768 0.768 0.768 As

<3>
CaCrAs2, optimized geometry, DFT PBE; volume = 19.8 Å³ per atom; SG = Fm-3m, No. 225
1.0
0.000 3.408 3.408
3.408 0.000 3.408
3.408 3.408 0.000
Ca Cr As
1 1 2
Direct
0.000 0.000 0.000 Ca
0.500 0.500 0.500 Cr
0.250 0.250 0.250 As
0.750 0.750 0.750 As

<4>
CaCrAs2, optimized geometry, DFT PBE; volume = 22.6 Å³ per atom; SG = R3m, No. 160
1.0
1.755 1.013 8.469
-1.755 1.013 8.469
0.000 -2.027 8.469
Ca Cr As
1 1 2
Direct
0.000 0.000 0.000 Ca
0.772 0.772 0.772 Cr
0.244 0.244 0.244 As
0.494 0.494 0.494 As

<2> comes first in stability; the runner-up is 324 meV/atom higher.

<1>
CaCrAs3, optimized geometry, DFT PBE; volume = 21.9 Å³ per atom; SG = Pm-3m, No. 221
1.0
4.781 0.000 0.000
0.000 4.781 0.000
0.000 0.000 4.781
Ca Cr As
1 1 3
Direct
0.000 0.000 0.000 Ca
0.500 0.500 0.500 Cr
0.000 0.500 0.500 As
0.500 0.000 0.500 As
0.500 0.500 0.000 As

<2>
CaCrAs3, optimized geometry, DFT PBE; volume = 29.6 Å³ per atom; SG = Pm-3m, No. 221
1.0
5.287 0.000 0.000
0.000 5.287 0.000
0.000 0.000 5.287
Ca Cr As
1 1 3
Direct
0.000 0.000 0.000 Ca
0.500 0.500 0.500 Cr
0.000 0.000 0.500 As
0.000 0.500 0.000 As
0.500 0.000 0.000 As

<1> comes first in stability; the runner-up is 1170 meV/atom higher.

<1>
CaCr2As2, optimized geometry, DFT PBE; volume = 18.8 Å³ per atom; SG = I4/mmm, No. 139
1.0
-2.029 2.029 5.721
2.029 -2.029 5.721
2.029 2.029 -5.721
Ca Cr As
1 2 2
Direct
0.000 0.000 0.000 Ca
0.250 0.750 0.500 Cr
0.750 0.250 0.500 Cr
0.367 0.367 0.000 As
0.633 0.633 0.000 As

<2>
CaCr2As2, optimized geometry, DFT PBE; volume = 17.7 Å³ per atom; SG = I4/mmm, No. 139
1.0
-2.332 2.332 4.059
2.332 -2.332 4.059
2.332 2.332 -4.059
Ca Cr As
1 2 2
Direct
0.000 0.000 0.000 Ca
0.385 0.385 0.000 Cr
0.615 0.615 0.000 Cr
0.250 0.750 0.500 As
0.750 0.250 0.500 As

<1> comes first in stability; the runner-up is 143 meV/atom higher.

<1>
Cs2Ca2As, optimized geometry, DFT PBE; volume = 48.4 Å³ per atom; SG = P4/mbm, No. 127
1.0
8.058 0.000 0.000
0.000 8.058 0.000
0.000 0.000 7.459
Cs Ca As
4 4 2
Direct
0.192 0.308 0.000 Cs
0.308 0.808 0.000 Cs
0.692 0.192 0.000 Cs
0.808 0.692 0.000 Cs
0.177 0.677 0.500 Ca
0.323 0.177 0.500 Ca
0.677 0.823 0.500 Ca
0.823 0.323 0.500 Ca
0.000 0.000 0.500 As
0.500 0.500 0.500 As

<2>
Cs2Ca2As, optimized geometry, DFT PBE; volume = 45.4 Å³ per atom; SG = I4/mmm, No. 139
1.0
-2.288 2.288 10.849
2.288 -2.288 10.849
2.288 2.288 -10.849
Cs Ca As
2 2 1
Direct
0.250 0.750 0.500 Cs
0.750 0.250 0.500 Cs
0.071 0.071 0.000 Ca
0.929 0.929 0.000 Ca
0.500 0.500 0.000 As

<1> comes first in stability; the runner-up is 596 meV/atom higher.

<1>
Cs2CaAs, optimized geometry, DFT PBE; volume = 44.0 Å³ per atom; SG = Fm-3m, No. 225
1.0
0.000 4.446 4.446
4.446 0.000 4.446
4.446 4.446 0.000
Cs Ca As
2 1 1
Direct
0.250 0.250 0.250 Cs
0.750 0.750 0.750 Cs
0.000 0.000 0.000 Ca
0.500 0.500 0.500 As

<2>
Cs2CaAs, optimized geometry, DFT PBE; volume = 69.7 Å³ per atom; SG = I-42d, No. 122
1.0
-7.048 7.048 2.806
7.048 -7.048 2.806
7.048 7.048 -2.806
Cs Ca As
4 2 2
Direct
0.375 0.202 0.327 Cs
0.798 0.125 0.173 Cs
0.875 0.048 0.673 Cs
0.952 0.625 0.827 Cs
0.250 0.750 0.500 Ca
0.500 0.500 0.000 Ca
0.000 0.000 0.000 As
0.750 0.250 0.500 As

<2> comes first in stability; the runner-up is 440 meV/atom higher.

<1>
CsCaAsSe2, optimized geometry, DFT PBE; volume = 36.5 Å³ per atom; SG = P4/mmm, No. 123
1.0
5.660 0.000 0.000
0.000 5.660 0.000
0.000 0.000 5.697
Cs Ca As Se
1 1 1 2
Direct
0.000 0.000 0.000 Cs
0.500 0.500 0.500 Ca
0.500 0.500 0.000 As
0.000 0.500 0.500 Se
0.500 0.000 0.500 Se

<2>
CsCaAsSe2, optimized geometry, DFT PBE; volume = 37.6 Å³ per atom; SG = P4/mmm, No. 123
1.0
5.722 0.000 0.000
0.000 5.722 0.000
0.000 0.000 5.746
Cs Ca As Se
1 1 1 2
Direct
0.000 0.000 0.000 Cs
0.500 0.500 0.500 Ca
0.000 0.000 0.500 As
0.000 0.500 0.000 Se
0.500 0.000 0.000 Se

<1> comes first in stability; the runner-up is 947 meV/atom higher.